PmMoAs2: relaxed, PBE-GGA.

mass density	8.5	g cm⁻³
ΔH_f (0 K)	-0.5008	eV per atom
crystal system	tetragonal
volume	76	Å³/cell

CIF file:
```
data_PmMoAs2
_chemical_formula_sum 'Pm1 Mo1 As2'
_cell_length_a 3.2722
_cell_length_b 3.2722
_cell_length_c 7.1136
_cell_angle_alpha 90.00
_cell_angle_beta 90.00
_cell_angle_gamma 90.00
_space_group_name_H-M_alt 'P 4/m m m'
_space_group_IT_number 123
_space_group_name_Hall '-P 4 2'
loop_
_atom_site_label
_atom_site_fract_x
_atom_site_fract_y
_atom_site_fract_z
Pm1 0.0000 0.0000 0.0000
Mo1 0.0000 0.0000 0.5000
As1 0.5000 0.5000 0.2949
```